Record 1
First-principles (PBE) data for a relaxed InAg2P2 crystal, as listed in the Alexandria database.

Its crystal system is tetragonal. The energy above the most stable polymorph in this dataset comes out at 0 meV per atom. As for the formation energy: 0.13 eV/atom. For the total energy, the calculation gives -18.59 eV per cell. The value obtained for the total magnetic moment is 0.00 μB per formula unit.

```
InAg2P2
1.0
4.507 0.000 0.000
0.000 4.507 0.000
2.253 2.253 5.005
Ag P In
2 2 1
direct
0.250 0.750 0.500 Ag
0.750 0.250 0.500 Ag
0.392 0.392 0.215 P
0.608 0.608 0.785 P
0.000 0.000 0.000 In
```



Record 2
First-principles (PBE) data for a relaxed In2AgP2 crystal, as listed in the Alexandria database.

Its crystal system is tetragonal. The energy above the most stable polymorph in this dataset comes out at 214 meV per atom. As for the formation energy: 0.43 eV/atom. For the total energy, the calculation gives -16.98 eV per cell. The value obtained for the total magnetic moment is 0.00 μB per formula unit.

```
In2AgP2
1.0
4.573 0.000 0.000
0.000 4.573 0.000
2.286 2.286 5.562
In Ag P
2 1 2
direct
0.376 0.376 0.249 In
0.624 0.624 0.751 In
0.000 0.000 0.000 Ag
0.750 0.250 0.500 P
0.250 0.750 0.500 P
```



Record 3
First-principles (PBE) data for a relaxed In2AgP crystal, as listed in the Alexandria database.

Its crystal system is orthorhombic. As for the formation energy: 0.14 eV/atom. For the total energy, the calculation gives -13.20 eV per cell. The value obtained for the total magnetic moment is 0.00 μB per formula unit.

```
In2AgP
1.0
3.725 0.000 0.000
0.000 2.927 -0.020
0.000 0.056 7.936
In P Ag
2 1 1
direct
0.000 0.500 0.251 In
0.000 0.500 0.749 In
0.500 0.500 0.000 P
0.500 0.000 0.500 Ag
```



Record 4
First-principles (PBE) data for a relaxed In3AgP crystal, as listed in the Alexandria database.

Its crystal system is cubic. The energy above the most stable polymorph in this dataset comes out at 0 meV per atom. As for the formation energy: 0.41 eV/atom. For the total energy, the calculation gives -14.41 eV per cell. The value obtained for the total magnetic moment is 0.00 μB per formula unit.

```
In3AgP
1.0
5.230 0.000 0.000
0.000 5.230 0.000
0.000 0.000 5.230
P In Ag
1 3 1
direct
0.000 0.000 0.000 P
0.000 0.000 0.500 In
0.000 0.500 0.000 In
0.500 0.000 0.000 In
0.500 0.500 0.500 Ag
```



Record 5
First-principles (PBE) data for a relaxed RbInAg2P crystal, as listed in the Alexandria database.

Its crystal system is tetragonal. As for the formation energy: 0.18 eV/atom. For the total energy, the calculation gives -13.93 eV per cell. The value obtained for the total magnetic moment is 0.00 μB per formula unit.

```
RbInAg2P
1.0
4.905 0.000 0.000
0.000 6.025 0.000
0.000 0.000 4.905
Rb P Ag In
1 1 2 1
direct
0.500 0.500 0.500 Rb
0.000 0.000 0.000 P
0.500 0.000 0.000 Ag
0.000 0.000 0.500 Ag
0.000 0.500 0.000 In
```



Record 6
First-principles (PBE) data for a relaxed InAgPS2 crystal, as listed in the Alexandria database.

Its crystal system is tetragonal. The energy above the most stable polymorph in this dataset comes out at 0 meV per atom. For the total energy, the calculation gives -15.71 eV per cell. As for the formation energy from raw total energies: 0.709 eV per atom. The value obtained for the total magnetic moment is 0.95 μB per formula unit.

```
InAgPS2
1.0
-2.346 -4.372 0.309
3.717 -2.171 -2.486
2.247 -0.912 4.156
In P Ag S
1 1 1 2
direct
0.500 0.500 0.500 In
0.000 0.000 0.500 P
0.000 0.000 0.000 Ag
0.500 0.000 0.000 S
0.000 0.500 0.000 S
```



Repeat the third record exactly.
First-principles (PBE) data for a relaxed In2AgP crystal, as listed in the Alexandria database.

Its crystal system is orthorhombic. As for the formation energy: 0.14 eV/atom. For the total energy, the calculation gives -13.20 eV per cell. The value obtained for the total magnetic moment is 0.00 μB per formula unit.

```
In2AgP
1.0
3.725 0.000 0.000
0.000 2.927 -0.020
0.000 0.056 7.936
In P Ag
2 1 1
direct
0.000 0.500 0.251 In
0.000 0.500 0.749 In
0.500 0.500 0.000 P
0.500 0.000 0.500 Ag
```



The highest total magnetic moment belongs to which entry? InAgPS2



The highest total magnetic moment belongs to which entry? InAgPS2